## Al2TlCo (PBE)

Data for Al2TlCo after structural relaxation.

Results
M_tot	0.7	μB per cell
ΔE to the lowest computed polymorph	1.54	eV/f.u.
final energy	-3.92	eV/atom
formation energy from the elements	0.32	eV per atom

Cell: 4.731 3.187 4.780 Å, 90.00 111.65 90.00°
Space group P2/m (No. 10)
Symmetry-distinct sites (fractional):
Al1 0.000 0.000 0.000 (multiplicity 1)
Al2 0.500 0.500 0.000 (multiplicity 1)
Tl1 0.000 0.500 0.500 (multiplicity 1)
Co1 0.500 0.000 0.500 (multiplicity 1)

## AlTl2Co (PBE)

Data for AlTl2Co after structural relaxation.

Results
M_tot	4.1	μB per cell
ΔE to the lowest computed polymorph	2.00	eV/f.u.
final energy	-3.24	eV/atom
formation energy from the elements	0.65	eV per atom

Cell: 6.953 6.953 6.953 Å, 90.00 90.00 90.00°
Space group F-43m (No. 216)
Symmetry-distinct sites (fractional):
Al1 0.000 0.000 0.000 (multiplicity 4)
Tl1 0.000 0.000 0.500 (multiplicity 4)
Tl2 0.250 0.250 0.250 (multiplicity 4)
Co1 0.250 0.250 0.750 (multiplicity 4)

## Al2TlCo (PBE)

Data for Al2TlCo after structural relaxation.

Results
M_tot	1.6	μB per cell
ΔE to the lowest computed polymorph	1.44	eV/f.u.
final energy	-3.94	eV/atom
formation energy from the elements	0.30	eV per atom

Cell: 4.011 4.011 8.176 Å, 90.00 90.00 90.00°
Space group I-4m2 (No. 119)
Symmetry-distinct sites (fractional):
Al1 0.000 0.000 0.000 (multiplicity 2)
Al2 0.000 0.500 0.250 (multiplicity 2)
Tl1 0.000 0.000 0.500 (multiplicity 2)
Co1 0.000 0.500 0.750 (multiplicity 2)

## Al2TlCo (PBE)

Data for Al2TlCo after structural relaxation.

Results
M_tot	0.6	μB per cell
ΔE to the lowest computed polymorph	1.16	eV/f.u.
final energy	-4.01	eV/atom
formation energy from the elements	0.23	eV per atom

Cell: 3.328 4.148 5.260 Å, 90.00 104.72 90.00°
Space group P2/m (No. 10)
Symmetry-distinct sites (fractional):
Al1 0.161 0.000 0.289 (multiplicity 2)
Tl1 0.500 0.500 0.000 (multiplicity 1)
Co1 0.500 0.500 0.500 (multiplicity 1)

## Al2TlCo (PBE)

Data for Al2TlCo after structural relaxation.

Results
M_tot	0.0	μB per cell
ΔE to the lowest computed polymorph	1.99	eV/f.u.
final energy	-3.81	eV/atom
formation energy from the elements	0.43	eV per atom

Cell: 6.438 6.438 6.438 Å, 90.00 90.00 90.00°
Space group Fm-3m (No. 225)
Symmetry-distinct sites (fractional):
Al1 0.250 0.250 0.250 (multiplicity 8)
Tl1 0.000 0.000 0.000 (multiplicity 4)
Co1 0.000 0.000 0.500 (multiplicity 4)

## AlTl2Co (PBE)

Data for AlTl2Co after structural relaxation.

Results
M_tot	1.2	μB per cell
ΔE to the lowest computed polymorph	1.65	eV/f.u.
final energy	-3.33	eV/atom
formation energy from the elements	0.56	eV per atom

Cell: 4.740 3.435 5.411 Å, 90.00 112.56 90.00°
Space group P2/m (No. 10)
Symmetry-distinct sites (fractional):
Al1 0.000 0.000 0.000 (multiplicity 1)
Tl1 0.500 0.000 0.500 (multiplicity 1)
Tl2 0.500 0.500 0.000 (multiplicity 1)
Co1 0.000 0.500 0.500 (multiplicity 1)

## AlTlCo (PBE)

Data for AlTlCo after structural relaxation.

Results
M_tot	0.8	μB per cell
ΔE to the lowest computed polymorph	0.45	eV/f.u.
final energy	-4.12	eV/atom
formation energy from the elements	0.29	eV per atom

Cell: 3.0898 3.0898 6.4043 Å, 90.00 90.00 120.00°
Space group P3m1 (No. 156)
Symmetry-distinct sites (fractional):
Al1 0.0000 0.0000 0.0000 (multiplicity 1)
Tl1 0.3333 0.6667 0.5952 (multiplicity 1)
Co1 0.6667 0.3333 0.2567 (multiplicity 1)

## AlTlCo3 (PBE)

Data for AlTlCo3 after structural relaxation.

Results
M_tot	4.4	μB per cell
ΔE to the lowest computed polymorph	4.14	eV/f.u.
final energy	-3.81	eV/atom
formation energy from the elements	1.67	eV per atom

Cell: 4.748 4.748 4.748 Å, 90.00 90.00 90.00°
Space group Pm-3m (No. 221)
Symmetry-distinct sites (fractional):
Al1 0.000 0.000 0.000 (multiplicity 1)
Tl1 0.500 0.500 0.500 (multiplicity 1)
Co1 0.000 0.500 0.500 (multiplicity 3)